VASP calculation (GGA-PBE) on a relaxed structure of ZnBiPd.

Output
Its energy relative to the lowest polymorph listed for this composition is 0.000 eV/atom. The value obtained for the formation energy from the elements is -227 meV per atom. The calculation puts the volume at 21.95 A^3/atom.

```
12
Lattice="6.410 0.000 0.000 0.000 6.410 0.000 0.000 0.000 6.410" Properties=species:S:1:pos:R:3 pbc="T T T"
Zn 0.000 0.000 0.000
Zn 0.000 3.205 3.205
Zn 3.205 0.000 3.205
Zn 3.205 3.205 0.000
Bi 0.000 0.000 3.205
Bi 0.000 3.205 0.000
Bi 3.205 0.000 0.000
Bi 3.205 3.205 3.205
Pd 1.602 1.602 1.602
Pd 1.602 4.807 4.807
Pd 4.807 1.602 4.807
Pd 4.807 4.807 1.602
```

=====

VASP calculation (GGA-PBE) on a relaxed structure of Zn2BiPd2.

Output
Its energy relative to the lowest polymorph listed for this composition is 0.002 eV/atom. The value obtained for the formation energy from the elements is -294 meV per atom. The calculation puts the volume at 17.63 A^3/atom.

```
10
Lattice="7.611 0.000 0.000 0.000 7.611 0.000 0.000 0.000 3.043" Properties=species:S:1:pos:R:3 pbc="T T T"
Zn 0.931 2.875 0.000
Zn 2.875 6.680 0.000
Zn 4.736 0.931 0.000
Zn 6.680 4.736 0.000
Bi 0.000 0.000 0.000
Bi 3.806 3.806 0.000
Pd 1.279 5.085 1.522
Pd 2.527 1.279 1.522
Pd 5.085 6.332 1.522
Pd 6.332 2.527 1.522
```

=====

VASP calculation (GGA-PBE) on a relaxed structure of ZnBiPd2.

Output
Its energy relative to the lowest polymorph listed for this composition is 0.099 eV/atom. The value obtained for the formation energy from the elements is -245 meV per atom. The calculation puts the volume at 18.20 A^3/atom.

```
4
Lattice="4.592 0.000 0.000 0.000 4.592 0.000 0.000 0.000 3.453" Properties=species:S:1:pos:R:3 pbc="T T T"
Zn 0.000 0.000 0.000
Bi 2.296 2.296 0.000
Pd 0.000 2.296 1.727
Pd 2.296 0.000 1.727
```

=====

VASP calculation (GGA-PBE) on a relaxed structure of ZnBi3Pd12.

Output
The value obtained for the formation energy from the elements is -280 meV per atom. The calculation puts the volume at 16.99 A^3/atom.

```
16
Lattice="4.097 0.000 0.000 0.000 4.097 0.000 0.000 0.000 16.193" Properties=species:S:1:pos:R:3 pbc="T T T"
Zn 0.000 0.000 0.000
Bi 0.000 0.000 3.821
Bi 0.000 0.000 8.097
Bi 0.000 0.000 12.372
Pd 0.000 2.048 1.855
Pd 0.000 2.048 6.021
Pd 0.000 2.048 10.173
Pd 0.000 2.048 14.339
Pd 2.048 0.000 1.855
Pd 2.048 0.000 6.021
Pd 2.048 0.000 10.173
Pd 2.048 0.000 14.339
Pd 2.048 2.048 0.000
Pd 2.048 2.048 4.007
Pd 2.048 2.048 8.097
Pd 2.048 2.048 12.186
```

=====

Question: Which of these has the lowest formation energy from the elements?
Answer: Zn2BiPd2